A relaxed Li3HBr4 crystal. Source: the Alexandria database, functional PBE.

Uncorrected energy = -24.33 eV per formula unit
Mass density = 2.9 g cm⁻³
Fermi-level density of states = 0.0 states/eV per cell

a = 4.3704 Å, b = 4.3704 Å, c = 36.0508 Å
α = 90.00°, β = 90.00°, γ = 120.00°
Closest atoms and distances in Å follow each position.
Space group R3m (No. 160, hexagonal axes)
Symmetry-distinct sites (fractional):
Li (0.0000, 0.0000, 0.0000) x3  4 Br 2.53-2.59
Li (0.0000, 0.0000, 0.2360) x3  4 Br 2.46-2.69
Li (0.0000, 0.0000, 0.4764) x3  4 Br 2.46-2.68
H (0.0000, 0.0000, 0.7142) x3  1 Br 1.51
Br (0.0000, 0.0000, 0.1678) x3  4 Li 2.46-2.68
Br (0.0000, 0.0000, 0.4081) x3  1 Li 2.46, 3 H 2.71
Br (0.0000, 0.0000, 0.6724) x3  1 H 1.51
Br (0.0000, 0.0000, 0.9282) x3  4 Li 2.59-2.69